(1)
## LiPuScAl (PBE)

Data for crystalline LiPuScAl at its relaxed geometry.

The total energy comes out at -6.59 eV per atom. The crystal system is cubic. The calculation puts the magnetization at 5.98 μB per formula unit. As for the density of states at the Fermi level: 19.81 states/eV/cell.

The structure belongs to space group F-43m (No. 216); the cell edges are 7.031, 7.031 and 7.031 Å and the angles 90.00°, 90.00° and 90.00°. The inequivalent atoms are Li at (0.000, 0.000, 0.000), Pu at (0.250, 0.250, 0.750), Sc at (0.250, 0.250, 0.250) and Al at (0.000, 0.000, 0.500).

***

(2)
## Tb2UPaN6 (PBE)

Data for crystalline Tb2UPaN6 at its relaxed geometry.

The total energy comes out at -9.38 eV per atom. The crystal system is trigonal. The calculation puts the magnetization at 0.00 μB per formula unit. As for the density of states at the Fermi level: 25.51 states/eV/cell. Its uncorrected formation energy is -1378 meV per atom.

The structure belongs to space group R3 (No. 146, hexagonal axes); the cell edges are 5.9251, 5.9251 and 14.7831 Å and the angles 90.00°, 90.00° and 120.00°. The inequivalent atoms are Tb at (0.0000, 0.0000, 0.0000), Tb at (0.0000, 0.0000, 0.4985), U at (0.0000, 0.0000, 0.7224), Pa at (0.0000, 0.0000, 0.2254), N at (0.0643, 0.3526, 0.7921) and N at (0.0694, 0.7007, 0.2948).

***

(3)
## BeReF3 (PBE)

Data for crystalline BeReF3 at its relaxed geometry.

The total energy comes out at -4.64 eV per atom. The crystal system is cubic. The calculation puts the magnetization at 1.95 μB per formula unit. As for the density of states at the Fermi level: 3.30 states/eV/cell. Its uncorrected formation energy is -287 meV per atom.

The structure belongs to space group Pm-3m (No. 221); the cell edges are 4.180, 4.180 and 4.180 Å and the angles 90.00°, 90.00° and 90.00°. The inequivalent atoms are Be at (0.000, 0.000, 0.000), Re at (0.500, 0.500, 0.500) and F at (0.000, 0.500, 0.500).

***

(4)
## YMg2Co (PBE)

Data for crystalline YMg2Co at its relaxed geometry.

The total energy comes out at -4.07 eV per atom. The crystal system is tetragonal. The calculation puts the magnetization at 0.00 μB per formula unit. As for the density of states at the Fermi level: 4.07 states/eV/cell.

The structure belongs to space group I4/mmm (No. 139); the cell edges are 4.136, 4.136 and 9.507 Å and the angles 90.00°, 90.00° and 90.00°. The inequivalent atoms are Y at (0.000, 0.000, 0.000), Mg at (0.000, 0.500, 0.250) and Co at (0.000, 0.000, 0.500).

***

(5)
## LaPm2TlHg4 (PBE)

Data for crystalline LaPm2TlHg4 at its relaxed geometry.

The total energy comes out at -2.65 eV per atom. The crystal system is trigonal. The calculation puts the magnetization at 0.00 μB per formula unit. As for the density of states at the Fermi level: 21.50 states/eV/cell.

The structure belongs to space group R-3m (No. 166, hexagonal axes); the cell edges are 5.2866, 5.2866 and 27.7203 Å and the angles 90.00°, 90.00° and 120.00°. The inequivalent atoms are La at (0.0000, 0.0000, 0.0000), Pm at (0.0000, 0.0000, 0.2377), Tl at (0.0000, 0.0000, 0.5000), Hg at (0.0000, 0.0000, 0.1196) and Hg at (0.0000, 0.0000, 0.3735).

***

(6)
## AcErCdOs (PBE)

Data for crystalline AcErCdOs at its relaxed geometry.

The total energy comes out at -5.20 eV per atom. The crystal system is cubic. The calculation puts the magnetization at 0.00 μB per formula unit. As for the density of states at the Fermi level: 16.08 states/eV/cell.

The structure belongs to space group F-43m (No. 216); the cell edges are 7.390, 7.390 and 7.390 Å and the angles 90.00°, 90.00° and 90.00°. The inequivalent atoms are Ac at (0.000, 0.000, 0.000), Er at (0.000, 0.000, 0.500), Cd at (0.250, 0.250, 0.750) and Os at (0.250, 0.250, 0.250).

***

(7)
## Pm2DyAs3Pt4 (PBE)

Data for crystalline Pm2DyAs3Pt4 at its relaxed geometry.

The total energy comes out at -6.18 eV per atom. The crystal system is tetragonal. The calculation puts the magnetization at 0.00 μB per formula unit. As for the density of states at the Fermi level: 3.47 states/eV/cell.

The structure belongs to space group P-4m2 (No. 115); the cell edges are 4.288, 4.288 and 11.346 Å and the angles 90.00°, 90.00° and 90.00°. The inequivalent atoms are Pm at (0.000, 0.500, 0.213), Dy at (0.000, 0.000, 0.500), As at (0.000, 0.500, 0.871), As at (0.500, 0.500, 0.500), Pt at (0.000, 0.000, 0.000), Pt at (0.000, 0.500, 0.656) and Pt at (0.500, 0.500, 0.000).

***

(8)
## CsCd3Se3 (PBE)

Data for crystalline CsCd3Se3 at its relaxed geometry.

The total energy comes out at -2.62 eV per atom. The crystal system is trigonal. The calculation puts the magnetization at 0.00 μB per formula unit. As for the density of states at the Fermi level: 10.24 states/eV/cell. Its uncorrected formation energy is -615 meV per atom.

The structure belongs to space group R-3 (No. 148, hexagonal axes); the cell edges are 8.0991, 8.0991 and 26.4312 Å and the angles 90.00°, 90.00° and 120.00°. The inequivalent atoms are Cs at (0.0000, 0.0000, 0.1667), Cd at (0.0030, 0.3277, 0.6236) and Se at (0.0023, 0.3402, 0.3996).

***

(9)
## MgCoI (PBE)

Data for crystalline MgCoI at its relaxed geometry.

The total energy comes out at -3.43 eV per atom. The crystal system is monoclinic. The calculation puts the magnetization at 1.00 μB per formula unit. As for the density of states at the Fermi level: 8.99 states/eV/cell. Its uncorrected formation energy is -15 meV per atom.

The structure belongs to space group Cm (No. 8); the cell edges are 7.455, 4.305 and 9.744 Å and the angles 90.00°, 104.85° and 90.00°. The inequivalent atoms are Mg at (0.000, 0.000, 0.000), Mg at (0.103, 0.500, 0.811), Co at (0.289, 0.000, 0.867), Co at (0.411, 0.500, 0.734), I at (0.196, 0.000, 0.590) and I at (0.390, 0.000, 0.170).

***

(10)
## LiYRu2 (PBE)

Data for crystalline LiYRu2 at its relaxed geometry.

The total energy comes out at -6.56 eV per atom. The crystal system is orthorhombic. The calculation puts the magnetization at 0.00 μB per formula unit. As for the density of states at the Fermi level: 9.45 states/eV/cell.

The structure belongs to space group Immm (No. 71); the cell edges are 3.233, 4.673 and 8.733 Å and the angles 90.00°, 90.00° and 90.00°. The inequivalent atoms are Li at (0.000, 0.000, 0.000), Y at (0.000, 0.000, 0.500) and Ru at (0.000, 0.500, 0.259).

***

(11)
## Tl2AsPd5 (PBE)

Data for crystalline Tl2AsPd5 at its relaxed geometry.

The total energy comes out at -4.57 eV per atom. The crystal system is orthorhombic. The calculation puts the magnetization at 0.00 μB per formula unit. As for the density of states at the Fermi level: 12.71 states/eV/cell.

The structure belongs to space group Fmm2 (No. 42); the cell edges are 8.774, 8.801 and 7.463 Å and the angles 90.00°, 90.00° and 90.00°. The inequivalent atoms are Tl at (0.250, 0.250, 0.000), As at (0.000, 0.000, 0.380), Pd at (0.000, 0.000, 0.015), Pd at (0.000, 0.235, 0.746) and Pd at (0.234, 0.000, 0.746).

***

(12)
## Na3AgHg6 (PBE)

Data for crystalline Na3AgHg6 at its relaxed geometry.

The total energy comes out at -1.01 eV per atom. The crystal system is trigonal. The calculation puts the magnetization at 0.00 μB per formula unit. As for the density of states at the Fermi level: 20.91 states/eV/cell.

The structure belongs to space group R-3 (No. 148, hexagonal axes); the cell edges are 13.2687, 13.2687 and 9.9244 Å and the angles 90.00°, 90.00° and 120.00°. The inequivalent atoms are Na at (0.0474, 0.1994, 0.2480), Ag at (0.0000, 0.0000, 0.0000), Ag at (0.0000, 0.0000, 0.5000), Hg at (0.0487, 0.2405, 0.5696) and Hg at (0.0611, 0.2418, 0.9206).